(1)
Crystalline AlNi2Te at its relaxed geometry, computed with PBE-GGA.

a = 4.538 Å, b = 4.538 Å, c = 4.538 Å
α = 125.23°, β = 125.23°, γ = 81.15°
Atoms (fractional coordinates):
Al 0.750 0.250 0.500
Ni 0.000 0.000 0.000
Ni 0.500 0.500 0.000
Te 0.250 0.750 0.500

The magnetic moment is 0.0 μB/cell. As for the space group: I4/mmm. For the polymorph energy (0 for the lowest one), the calculation gives 16.3 kJ/mol of atoms. The raw formation energy comes out at 8 meV per atom.

(2)
Crystalline Pm4Rh3 at its relaxed geometry, computed with PBE-GGA.

a = 4.934 Å, b = 4.934 Å, c = 8.630 Å
α = 73.39°, β = 73.39°, γ = 60.00°
Atoms (fractional coordinates):
Rh 0.250 0.250 0.250
Rh 0.000 0.000 0.000
Rh 0.750 0.750 0.750
Pm 0.375 0.375 0.874
Pm 0.125 0.125 0.625
Pm 0.875 0.875 0.375
Pm 0.625 0.625 0.126

The magnetic moment is 0.0 μB/cell. As for the space group: R-3m. As for the formation energy: -0.63 eV/atom.

(3)
Crystalline ScBe3Sn at its relaxed geometry, computed with PBE-GGA.

a = 4.762 Å, b = 4.762 Å, c = 4.762 Å
α = 90.00°, β = 90.00°, γ = 90.00°
Atoms (fractional coordinates):
Be 0.000 0.500 0.000
Be 0.500 0.000 0.000
Be 0.000 0.000 0.500
Sn 0.500 0.500 0.500
Sc 0.000 0.000 0.000

The magnetic moment is 0.0 μB/cell. As for the space group: Pm-3m. As for the formation energy: 1.54 eV/atom. For the polymorph energy (0 for the lowest one), the calculation gives 53.3 kJ/mol of atoms.

(4)
Crystalline Ti4NbPt5 at its relaxed geometry, computed with PBE-GGA.

a = 2.831 Å, b = 2.831 Å, c = 19.666 Å
α = 90.00°, β = 90.00°, γ = 90.00°
Site moments in Bohr magnetons follow the coordinates.
Atoms (fractional coordinates):
Ti 0.000 0.000 0.599  0.37
Ti 0.000 0.000 0.204  0.45
Ti 0.000 0.000 0.401  0.37
Ti 0.000 0.000 0.796  0.45
Pt 0.500 0.500 0.895  0.01
Pt 0.500 0.500 0.105  0.01
Pt 0.500 0.500 0.500  0.01
Pt 0.500 0.500 0.303  0.01
Pt 0.500 0.500 0.697  0.01
Nb 0.000 0.000 0.000  0.02

The magnetic moment is 2.0 μB/cell. As for the space group: P4/mmm. As for the formation energy: -0.85 eV/atom.

(5)
Crystalline BaSiPF2 at its relaxed geometry, computed with PBE-GGA.

a = 4.708 Å, b = 8.542 Å, c = 4.708 Å
α = 90.00°, β = 90.00°, γ = 90.00°
Site moments in Bohr magnetons follow the coordinates.
Atoms (fractional coordinates):
F 0.000 0.000 0.500  0.02
F 0.500 0.000 0.000  0.01
Ba 0.000 0.000 0.000  0.00
P 0.500 0.500 0.500  0.64
Si 0.000 0.500 0.000  -0.15

The magnetic moment is 1.0 μB/cell. As for the space group: P4/mmm. The raw formation energy comes out at -905 meV per atom.

(6)
Crystalline GeBrF3 at its relaxed geometry, computed with PBE-GGA.

a = 4.236 Å, b = 4.236 Å, c = 4.236 Å
α = 90.00°, β = 90.00°, γ = 90.00°
Site moments in Bohr magnetons follow the coordinates.
Atoms (fractional coordinates):
F 0.500 0.000 0.000  0.09
F 0.000 0.000 0.500  0.05
F 0.000 0.500 0.000  0.05
Ge 0.000 0.000 0.000  0.02
Br 0.500 0.500 0.500  0.76

The magnetic moment is 1.2 μB/cell. As for the space group: Pm-3m. For the polymorph energy (0 for the lowest one), the calculation gives 68.4 kJ/mol of atoms. The raw formation energy comes out at -1211 meV per atom.